This record from Alexandria via LeMat-Bulk describes crystalline RbSr2AcTe4 at its relaxed geometry. The functional is GGA-PBE.

Cell and atoms, written as POSCAR:
```
RbSr2AcTe4
1.0
-0.6034 -3.2155 3.5603
7.7368 -2.7899 -1.2084
5.2496 4.4350 4.8952
Rb Sr Ac Te
1 2 1 4
direct
0.5000 0.5000 0.0000
0.0000 0.0000 0.0000
0.5000 0.0000 0.5000
0.0000 0.5000 0.5000
0.0000 0.7633 0.7290
0.0000 0.2367 0.2710
0.5000 0.7523 0.2609
0.5000 0.2477 0.7391
```

Results
Formation energy without anion corrections ... -1561 meV per atom


This record from Alexandria via LeMat-Bulk describes crystalline Rb4Ac3TbTe8 at its relaxed geometry. The functional is GGA-PBE.

Cell and atoms, written as POSCAR:
```
Rb4Ac3TbTe8
1.0
-1.3253 4.8886 8.1466
-9.5746 2.1789 -2.8651
2.6131 -9.2245 0.3127
Rb Ac Tb Te
4 3 1 8
direct
0.5000 0.0000 0.0000
0.5000 0.0000 0.5000
0.0000 0.0000 0.0000
0.0000 0.0000 0.5000
0.5000 0.5000 0.0000
0.5000 0.5000 0.5000
0.0000 0.5000 0.5000
0.0000 0.5000 0.0000
0.2276 0.7067 0.9790
0.2276 0.7066 0.4553
0.2615 0.2844 0.5229
0.7514 0.7067 0.9790
0.2486 0.2933 0.0210
0.7385 0.7156 0.4771
0.7724 0.2934 0.5447
0.7724 0.2933 0.0210
```

Results
Formation energy without anion corrections ... -1459 meV per atom


This record from Alexandria via LeMat-Bulk describes crystalline Rb3Ac2TbTe6 at its relaxed geometry. The functional is GGA-PBE.

Cell and atoms, written as POSCAR:
```
Rb3Ac2TbTe6
1.0
-4.3496 6.1290 -3.4297
-3.6154 -7.2628 1.5582
0.4337 3.1661 8.4367
Rb Ac Tb Te
3 2 1 6
direct
0.1699 0.8301 0.5000
0.8301 0.1699 0.5000
0.5000 0.5000 0.5000
0.3338 0.6662 0.0000
0.6662 0.3338 0.0000
0.0000 0.0000 0.0000
0.9309 0.6143 0.7924
0.7538 0.7538 0.2084
0.0691 0.3857 0.2076
0.6143 0.9309 0.7924
0.2462 0.2462 0.7916
0.3857 0.0691 0.2076
```

Results
Formation energy without anion corrections ... -1452 meV per atom


This record from Alexandria via LeMat-Bulk describes crystalline Rb2AcTbTe4 at its relaxed geometry. The functional is GGA-PBE.

Cell and atoms, written as POSCAR:
```
Rb2AcTbTe4
1.0
4.7114 0.0000 0.0000
0.0000 8.1736 0.1449
0.0000 -2.8608 8.5324
Rb Ac Tb Te
2 1 1 4
direct
0.5000 0.0000 0.5000
0.0000 0.5000 0.5000
0.5000 0.5000 0.0000
0.0000 0.0000 0.0000
0.5000 0.2188 0.2017
0.5000 0.7812 0.7983
0.0000 0.2471 0.7905
0.0000 0.7529 0.2095
```

Results
Formation energy without anion corrections ... -1429 meV per atom


Values of M_tot, in order: 0.000, 0.000, 0.000, 0.000, all in Bohr magnetons per cell.